# 1
NiAsP4 | Alexandria | PBE | optimized geometry; energy of formation from the pure elements = 0.772 eV per atom
1.0
0.000 3.558 3.558
3.558 0.000 3.558
3.558 3.558 0.000
Ni As P
1 1 4
Cartesian
0.000 0.000 0.000
1.779 1.779 1.779
4.466 2.650 2.650
2.650 4.466 2.650
2.650 2.650 4.466
4.466 4.466 4.466

# 2
Ge5Bi3O12 | Alexandria | PBE | optimized geometry; formation energy without anion corrections = -119 kJ/mol of atoms
1.0
-6.571 6.571 6.571
6.571 -6.571 6.571
6.571 6.571 -6.571
Ge Bi O
20 12 48
Cartesian
0.000 0.000 0.000
3.285 3.285 -3.285
3.285 -3.285 3.285
6.571 0.000 0.000
9.856 1.643 0.000
6.571 -3.285 4.928
4.928 6.571 -3.285
4.928 0.000 3.285
3.285 4.928 0.000
6.571 3.285 1.643
-3.285 3.285 3.285
0.000 6.571 0.000
0.000 0.000 6.571
3.285 3.285 3.285
0.000 3.285 4.928
3.285 1.643 6.571
1.643 6.571 3.285
1.643 0.000 9.856
0.000 9.856 1.643
-3.285 4.928 6.571
3.285 1.643 0.000
6.571 3.285 -1.643
1.643 0.000 3.285
8.213 0.000 3.285
0.000 3.285 1.643
3.285 -1.643 6.571
3.285 8.213 0.000
6.571 3.285 4.928
-1.643 6.571 3.285
4.928 6.571 3.285
0.000 3.285 8.213
3.285 4.928 6.571
2.138 -0.487 0.776
7.718 4.062 -3.772
8.709 0.487 0.776
7.718 -2.509 3.772
6.084 -0.776 2.138
10.343 -1.147 2.509
0.776 2.138 -0.487
9.080 2.798 -1.147
4.062 3.772 -1.147
5.794 2.138 0.487
-0.487 0.776 2.138
3.772 -1.147 4.062
6.084 5.794 -2.138
3.772 1.147 2.509
4.062 -3.772 7.718
5.794 -2.138 6.084
2.509 3.772 1.147
7.347 4.433 0.487
3.772 7.718 -2.509
6.084 0.776 4.433
2.138 6.084 -0.776
7.718 2.509 2.798
1.147 2.509 3.772
2.138 0.487 5.794
4.433 6.084 0.776
5.423 4.062 2.798
-1.147 4.062 3.772
4.433 0.487 7.347
0.487 5.794 2.138
2.798 -1.147 9.080
-0.776 2.138 6.084
4.062 2.798 5.423
0.776 8.709 0.487
2.509 10.343 -1.147
2.798 5.423 4.062
0.487 0.776 8.709
2.798 7.718 2.509
7.058 5.794 4.433
0.776 4.433 6.084
2.509 2.798 7.718
-2.509 3.772 7.718
5.794 4.433 7.058
-3.772 7.718 4.062
0.487 7.347 4.433
-1.147 9.080 2.798
-2.138 6.084 5.794
-1.147 2.509 10.343
4.433 7.058 5.794

# 3
PmY2Hg5 | Alexandria | PBE | optimized geometry; energy of formation from the pure elements = -0.452 eV per atom
1.0
-2.625 2.625 7.346
2.625 -2.625 7.346
2.625 2.625 -7.346
Pm Y Hg
1 2 5
Cartesian
0.000 0.000 0.000
0.000 0.000 3.915
0.000 0.000 10.778
2.625 0.000 1.861
2.625 0.000 5.485
0.000 0.000 7.346
0.000 2.625 1.861
0.000 2.625 5.485

# 4
Rh3Br | Alexandria | PBE | optimized geometry; formation energy without anion corrections = 50 kJ/mol of atoms; polymorph energy (0 for the lowest one) = 0.0370 eV per atom
1.0
2.978 0.000 0.000
-1.489 2.579 0.000
0.000 0.000 8.364
Rh Br
3 1
Cartesian
0.000 0.000 0.000
1.489 0.860 2.029
1.489 0.860 6.335
0.000 0.000 4.182

# 5
ZnHgBr2 | Alexandria | PBE | optimized geometry; formation energy without anion corrections = -47 kJ/mol of atoms; polymorph energy (0 for the lowest one) = 0.1409 eV per atom
1.0
1.808 -3.900 0.000
1.808 3.900 0.000
0.000 0.000 10.788
Zn Hg Br
1 1 2
Cartesian
0.000 0.000 0.000
0.000 0.000 5.394
1.808 0.000 1.735
1.808 0.000 9.053

# 6
ZnSn2Ru2 | Alexandria | PBE | optimized geometry; energy of formation from the pure elements = -0.048 eV per atom
1.0
7.417 0.000 0.000
0.000 7.417 0.000
0.000 0.000 3.286
Zn Sn Ru
2 4 4
Cartesian
0.000 0.000 0.000
3.708 3.708 0.000
1.137 2.571 1.643
2.571 6.280 1.643
4.845 1.137 1.643
6.280 4.845 1.643
1.085 4.793 0.000
2.624 1.085 0.000
4.793 6.332 0.000
6.332 2.624 0.000